{
  "formula": "NaCuWSeS2",
  "functional": "PBE",
  "state": "optimized geometry",
  "magmom_total_mub_per_atom": 0.113,
  "final_energy_ev_per_atom": -5.40,
  "cell": [[1.710, -6.921, 0.000], [1.710, 6.921, 0.000], [0.000, 0.000, 9.534]],
  "species": ["Na", "Na", "Cu", "Cu", "W", "W", "Se", "Se", "S", "S", "S", "S"],
  "fractional_positions": [[0.233, 0.767, 0.750], [0.767, 0.233, 0.250], [0.461, 0.539, 0.250], [0.539, 0.461, 0.750], [0.000, 0.000, 0.000], [0.000, 0.000, 0.500], [0.087, 0.913, 0.250], [0.913, 0.087, 0.750], [0.376, 0.624, 0.051], [0.376, 0.624, 0.449], [0.624, 0.376, 0.551], [0.624, 0.376, 0.949]]
}